(1)
A plane-wave DFT calculation with PBE was carried out for crystalline Dy3YCo at its relaxed geometry.

Computed properties:
The calculation puts the density at 7819 kg/m3. As for the energy above the lowest structure with this stoichiometry: 85 meV/atom. The calculation puts the formation energy at -20.4 meV per atom. The total energy is -109.913 eV for the cell shown.

abc: 7.7552 7.3178 9.9317
angles: 90.00 106.76 90.00
Space group P2_1/c (No. 14)
Asymmetric unit:
Dy: 0.0805 0.1279 0.3919 x4
Dy: 0.2098 0.5057 0.6157 x4
Dy: 0.4125 0.6992 0.9674 x4
Y: 0.3143 0.0558 0.7478 x4
Co: 0.0467 0.7442 0.3911 x4

(2)
A plane-wave DFT calculation with PBE was carried out for crystalline DyY12Co6 at its relaxed geometry.

Computed properties:
The calculation puts the density at 5557 kg/m3. The calculation puts the formation energy at -121.6 meV per atom. The total energy is -254.232 eV for the cell shown.

abc: 9.8168 9.8168 9.8168
angles: 90.00 90.00 90.00
Space group Im-3 (No. 204)
Asymmetric unit:
Dy: 0.0000 0.0000 0.0000 x2
Y: 0.0000 0.3086 0.1938 x24
Co: 0.0000 0.1124 0.5000 x12

(3)
A plane-wave DFT calculation with PBE was carried out for crystalline DyY3Co8 at its relaxed geometry.

Computed properties:
The calculation puts the density at 8069 kg/m3. The calculation puts the formation energy at -185.4 meV per atom. The total energy is -249.199 eV for the cell shown.

abc: 5.0788 5.0788 24.8927
angles: 90.00 90.00 120.00
Space group R3m (No. 160, hexagonal axes)
Asymmetric unit:
Dy: 0.0000 0.0000 0.0000 x3
Y: 0.0000 0.0000 0.3749 x3
Y: 0.0000 0.0000 0.5000 x3
Y: 0.0000 0.0000 0.8751 x3
Co: 0.0000 0.0000 0.1875 x3
Co: 0.0000 0.0000 0.6874 x3
Co: 0.0000 0.5000 0.9376 x9
Co: 0.1669 0.3338 0.7707 x9

(4)
A plane-wave DFT calculation with PBE was carried out for crystalline DyY4Co at its relaxed geometry.

Computed properties:
The calculation puts the density at 4935 kg/m3. As for the energy above the lowest structure with this stoichiometry: 325 meV/atom. The calculation puts the formation energy at 297.9 meV per atom. The total energy is -35.777 eV for the cell shown.

abc: 4.6872 4.6872 8.8377
angles: 90.00 90.00 90.00
Space group P4/mmm (No. 123)
Asymmetric unit:
Dy: 0.0000 0.0000 0.0000 x1
Y: 0.0000 0.5000 0.3181 x4
Co: 0.5000 0.5000 0.5000 x1

(5)
A plane-wave DFT calculation with PBE was carried out for crystalline Dy6YCo2 at its relaxed geometry.

Computed properties:
The calculation puts the density at 8268 kg/m3. The calculation puts the formation energy at -64.4 meV per atom. The total energy is -195.472 eV for the cell shown.

abc: 9.4567 10.0091 10.0297
angles: 90.00 90.00 90.00
Space group Immm (No. 71)
Asymmetric unit:
Dy: 0.0000 0.2149 0.2416 x8
Dy: 0.1831 0.5000 0.1814 x8
Dy: 0.2115 0.3148 0.5000 x8
Y: 0.0000 0.0000 0.0000 x2
Y: 0.0000 0.0000 0.5000 x2
Co: 0.0000 0.2976 0.0000 x4
Co: 0.0000 0.5000 0.3861 x4

(6)
A plane-wave DFT calculation with PBE was carried out for crystalline DyY3Co2 at its relaxed geometry.

Computed properties:
The calculation puts the density at 6102 kg/m3. The calculation puts the formation energy at -150.6 meV per atom. The total energy is -156.438 eV for the cell shown.

abc: 16.4784 3.7517 11.6044
angles: 90.00 123.89 90.00
Space group C2/m (No. 12)
Asymmetric unit:
Dy: 0.1605 0.0000 0.2485 x4
Y: 0.0830 0.5000 0.4400 x4
Y: 0.0831 0.5000 0.9404 x4
Y: 0.1589 0.0000 0.7465 x4
Co: 0.2337 0.0000 0.0460 x4
Co: 0.2344 0.0000 0.5477 x4

(7)
A plane-wave DFT calculation with PBE was carried out for crystalline Dy4YCo2 at its relaxed geometry.

Computed properties:
The calculation puts the density at 8235 kg/m3. The calculation puts the formation energy at -53.0 meV per atom. The total energy is -78.910 eV for the cell shown.

abc: 7.6204 6.3516 7.7537
angles: 90.00 112.98 90.00
Space group P2_1/m (No. 11)
Asymmetric unit:
Dy: 0.1246 0.2500 0.4802 x2
Dy: 0.1732 0.7500 0.2484 x2
Dy: 0.2587 0.5021 0.9119 x4
Y: 0.4743 0.2500 0.3364 x2
Co: 0.0905 0.2500 0.1282 x2
Co: 0.4879 0.2500 0.7685 x2

(8)
A plane-wave DFT calculation with PBE was carried out for crystalline DyY4Co at its relaxed geometry.

Computed properties:
The calculation puts the density at 5550 kg/m3. As for the energy above the lowest structure with this stoichiometry: 0 meV/atom. The calculation puts the formation energy at -27.6 meV per atom. The total energy is -150.919 eV for the cell shown.

abc: 5.8329 7.3370 16.1380
angles: 90.00 90.00 90.00
Space group Immm (No. 71)
Asymmetric unit:
Dy: 0.0000 0.0000 0.1963 x4
Y: 0.0000 0.2293 0.0000 x4
Y: 0.0000 0.2531 0.3806 x8
Y: 0.0000 0.5000 0.1747 x4
Co: 0.1916 0.0000 0.5000 x4

We obtain D(E_F) values of 27.18; 34.08; 46.28; 6.09; 39.92; 31.37; 16.24; 34.31 states/eV per cell for the records listed above, in that order.